No. 1
The following is a GGA-PBE calculation of a relaxed structure of Tl2RuAu, from Alexandria via LeMat-Bulk.

It has space group P4/mmm (No. 123), with a = 4.797 Å, b = 4.797 Å, c = 3.481 Å, α = 90.00°, β = 90.00° and γ = 90.00°. The distinct sites, in fractional coordinates, are Tl at (0.000, 0.500, 0.000), Ru at (0.000, 0.000, 0.500) and Au at (0.500, 0.500, 0.500).

For the formation energy, the calculation gives 0.461 eV per atom. The polymorph energy (0 for the lowest one) is 124 meV per atom. For the final energy, the calculation gives -3.860 eV/atom.

No. 2
The following is a GGA-PBE calculation of a relaxed structure of TbHo3Cu4, from Alexandria via LeMat-Bulk.

It has space group Pmmm (No. 47), with a = 3.447 Å, b = 4.901 Å, c = 9.800 Å, α = 90.00°, β = 90.00° and γ = 90.00°. The distinct sites, in fractional coordinates, are Tb at (0.000, 0.000, 0.000), Ho at (0.000, 0.000, 0.500), Ho at (0.000, 0.500, 0.251), Cu at (0.500, 0.000, 0.252), Cu at (0.500, 0.500, 0.000) and Cu at (0.500, 0.500, 0.500).

For the formation energy, the calculation gives -0.258 eV per atom. For the final energy, the calculation gives -4.602 eV/atom.

No. 3
The following is a GGA-PBE calculation of a relaxed structure of ErCdGa2, from Alexandria via LeMat-Bulk.

It has space group Pnma (No. 62), with a = 7.754 Å, b = 4.153 Å, c = 10.525 Å, α = 90.00°, β = 90.00° and γ = 90.00°. The distinct sites, in fractional coordinates, are Er at (0.143, 0.250, 0.140), Cd at (0.008, 0.750, 0.391), Ga at (0.139, 0.250, 0.834) and Ga at (0.235, 0.750, 0.945).

For the formation energy, the calculation gives -0.389 eV per atom. The polymorph energy (0 for the lowest one) is 24 meV per atom. For the final energy, the calculation gives -3.272 eV/atom.

No. 4
The following is a GGA-PBE calculation of a relaxed structure of Fe2OsPb, from Alexandria via LeMat-Bulk.

It has space group Pmmm (No. 47), with a = 2.914 Å, b = 3.737 Å, c = 5.911 Å, α = 90.00°, β = 90.00° and γ = 90.00°. The distinct sites, in fractional coordinates, are Fe at (0.000, 0.000, 0.194), Os at (0.500, 0.500, 0.000) and Pb at (0.500, 0.500, 0.500).

For the formation energy, the calculation gives 0.571 eV per atom. For the final energy, the calculation gives -7.395 eV/atom.

No. 5
The following is a GGA-PBE calculation of a relaxed structure of NdY2Ho, from Alexandria via LeMat-Bulk.

It has space group R-3m (No. 166, hexagonal axes), with a = 3.5901 Å, b = 3.5901 Å, c = 35.0221 Å, α = 90.00°, β = 90.00° and γ = 120.00°. The distinct sites, in fractional coordinates, are Nd at (0.0000, 0.0000, 0.0000), Y at (0.0000, 0.0000, 0.2487) and Ho at (0.0000, 0.0000, 0.5000).

For the formation energy, the calculation gives 0.020 eV per atom. The polymorph energy (0 for the lowest one) is 14 meV per atom. For the final energy, the calculation gives -5.548 eV/atom.

No. 6
The following is a GGA-PBE calculation of a relaxed structure of Ag2Pb2Br, from Alexandria via LeMat-Bulk.

It has space group P4/mbm (No. 127), with a = 8.271 Å, b = 8.271 Å, c = 3.818 Å, α = 90.00°, β = 90.00° and γ = 90.00°. The distinct sites, in fractional coordinates, are Ag at (0.129, 0.371, 0.000), Pb at (0.161, 0.661, 0.500) and Br at (0.000, 0.000, 0.000).

The polymorph energy (0 for the lowest one) is 32 meV per atom. The value obtained for the uncorrected formation energy is 7 meV per atom. For the final energy, the calculation gives -2.952 eV/atom.